No. 1
10
Lattice="9.7171 -2.0499 0.0000 9.7171 2.0499 0.0000 -1.9522 0.0000 8.6834" Properties=species:S:1:pos:R:3 comment="Tm4OsI5 | Alexandria via LeMat-Bulk | PBE | relaxed" space_group="No. 12" energy_ev_per_atom=-4.673 dos_at_fermi_per_ev_cell=6.45 raw_formation_energy_kj_per_mol_fu=-952 pbc="T T T"
Tm -0.3825 0.0000 1.7518
Tm 5.2021 0.0000 8.0737
Tm 12.2798 0.0000 0.6097
Tm 17.8645 0.0000 6.9315
Os 9.7171 0.0000 0.0000
I 2.6048 0.0000 2.9281
I 1.8024 0.0000 7.2507
I 8.7410 0.0000 4.3417
I 15.6796 0.0000 1.4327
I 14.8772 0.0000 5.7552

***

No. 2
14
Lattice="3.5225 2.0337 11.3651 -3.5225 2.0337 11.3651 0.0000 -4.0674 11.3651" Properties=species:S:1:pos:R:3 comment="Tm3OsI3 | Alexandria via LeMat-Bulk | PBE | relaxed" space_group="No. 148" energy_ev_per_atom=-4.987 dos_at_fermi_per_ev_cell=5.23 raw_formation_energy_kj_per_mol_fu=-542 pbc="T T T"
Tm -2.4952 -0.0048 15.5374
Tm -1.2435 -2.1633 18.5579
Tm 1.2517 -2.1586 15.5374
Tm -1.2517 2.1586 18.5578
Tm 1.2435 2.1633 15.5374
Tm 2.4953 0.0048 18.5579
Os 0.0000 0.0000 5.6793
Os 0.0000 0.0000 28.4159
I -1.1500 -1.9951 13.4474
I -2.3028 -0.0016 20.6478
I -1.1528 1.9934 13.4474
I 1.1528 -1.9934 20.6478
I 2.3028 0.0016 13.4474
I 1.1500 1.9951 20.6478

***

No. 3
5
Lattice="4.5827 0.0000 0.0000 0.0000 4.5827 0.0000 0.0000 0.0000 4.5827" Properties=species:S:1:pos:R:3 comment="VOs3I | Alexandria via LeMat-Bulk | PBE | relaxed" de_polymorph_ev_per_atom=0.0000 space_group="No. 221" energy_ev_per_atom=-6.844 dos_at_fermi_per_ev_cell=8.63 raw_formation_energy_kj_per_mol_fu=978 pbc="T T T"
V 0.0000 0.0000 0.0000
Os 0.0000 0.0000 2.2913
Os 0.0000 2.2913 0.0000
Os 2.2913 0.0000 0.0000
I 2.2913 2.2913 2.2913